DFT (GGA-PBE) results for a relaxed AcPuCo crystal.

```
AcPuCo
1.0
3.995 0.000 0.000
-1.997 3.460 0.000
0.000 0.000 6.190
Ac Pu Co
1 1 1
direct
0.000 0.000 0.000
0.333 0.667 0.492
0.667 0.333 0.291
```

Values from the calculation:
Energy of formation from the pure elements = 138 meV per atom
Raw total energy = -8.38 eV/atom
Energy above the most stable polymorph in this dataset = 0 kJ/mol of formula units


DFT (GGA-PBE) results for a relaxed TiSnS2 crystal.

```
TiSnS2
1.0
3.912 -5.302 0.000
3.912 5.302 0.000
-3.303 0.000 4.493
Ti Sn S
2 2 4
direct
0.219 0.781 0.750
0.781 0.219 0.250
0.089 0.911 0.250
0.911 0.089 0.750
0.183 0.471 0.350
0.471 0.183 0.850
0.529 0.817 0.150
0.817 0.529 0.650
```

Values from the calculation:
Raw total energy = -5.75 eV/atom
Raw formation energy = -714 meV per atom


DFT (GGA-PBE) results for a relaxed HfZn crystal.

```
HfZn
1.0
7.340 0.000 0.000
0.000 7.340 0.000
0.000 0.000 7.340
Hf Zn
6 6
direct
0.000 0.250 0.500
0.000 0.750 0.500
0.250 0.500 0.000
0.500 0.000 0.250
0.500 0.000 0.750
0.750 0.500 0.000
0.000 0.500 0.250
0.000 0.500 0.750
0.250 0.000 0.500
0.500 0.250 0.000
0.500 0.750 0.000
0.750 0.000 0.500
```

Values from the calculation:
Energy of formation from the pure elements = 1407 meV per atom
Raw total energy = -4.21 eV/atom


DFT (GGA-PBE) results for a relaxed Pd2SeCl crystal.

```
Pd2SeCl
1.0
2.104 1.215 6.308
-2.104 1.215 6.308
0.000 -2.429 6.308
Pd Se Cl
2 1 1
direct
0.127 0.127 0.127
0.873 0.873 0.873
0.500 0.500 0.500
0.000 0.000 0.000
```

Values from the calculation:
Raw total energy = -4.09 eV/atom
Raw formation energy = -161 meV per atom
Energy above the most stable polymorph in this dataset = 55 kJ/mol of formula units


DFT (GGA-PBE) results for a relaxed LaY3Sc crystal.

```
LaY3Sc
1.0
9.885 -4.945 0.000
9.885 4.945 0.000
-0.510 0.000 6.529
La Y Sc
4 12 4
direct
0.102 0.898 0.750
0.245 0.755 0.250
0.755 0.245 0.750
0.898 0.102 0.250
0.052 0.253 0.604
0.090 0.576 0.907
0.253 0.052 0.104
0.369 0.478 0.599
0.424 0.910 0.593
0.478 0.369 0.099
0.522 0.631 0.901
0.576 0.090 0.407
0.631 0.522 0.401
0.747 0.948 0.896
0.910 0.424 0.093
0.948 0.747 0.396
0.213 0.356 0.323
0.356 0.213 0.823
0.644 0.787 0.177
0.787 0.644 0.677
```

Values from the calculation:
Energy of formation from the pure elements = 74 meV per atom
Raw total energy = -6.06 eV/atom
Energy above the most stable polymorph in this dataset = 0 kJ/mol of formula units


DFT (GGA-PBE) results for a relaxed TaIn2Cl crystal.

```
TaIn2Cl
1.0
1.639 0.946 9.164
-1.639 0.946 9.164
0.000 -1.893 9.164
Ta In Cl
1 2 1
direct
0.000 0.000 0.000
0.251 0.251 0.251
0.749 0.749 0.749
0.500 0.500 0.500
```

Values from the calculation:
Raw total energy = -4.73 eV/atom
Raw formation energy = 64 meV per atom
Energy above the most stable polymorph in this dataset = 113 kJ/mol of formula units


DFT (GGA-PBE) results for a relaxed LiTh2Te4 crystal.

```
LiTh2Te4
1.0
-4.514 4.514 6.355
4.514 -4.514 6.355
4.514 4.514 -6.355
Li Th Te
2 4 8
direct
0.375 0.625 0.750
0.625 0.375 0.250
0.000 0.000 0.000
0.000 0.000 0.500
0.000 0.500 0.000
0.500 0.000 0.500
0.245 0.249 0.996
0.247 0.751 0.496
0.249 0.245 0.496
0.249 0.753 0.004
0.751 0.247 0.996
0.751 0.755 0.504
0.753 0.249 0.504
0.755 0.751 0.004
```

Values from the calculation:
Raw total energy = -5.29 eV/atom
Raw formation energy = -1105 meV per atom
Energy above the most stable polymorph in this dataset = 8 kJ/mol of formula units


DFT (GGA-PBE) results for a relaxed Tc2BPb crystal.

```
Tc2BPb
1.0
0.000 3.102 3.102
3.102 0.000 3.102
3.102 3.102 0.000
Tc B Pb
2 1 1
direct
0.250 0.250 0.250
0.750 0.750 0.750
0.000 0.000 0.000
0.500 0.500 0.500
```

Values from the calculation:
Energy of formation from the pure elements = 1077 meV per atom
Raw total energy = -6.70 eV/atom
Energy above the most stable polymorph in this dataset = 68 kJ/mol of formula units


DFT (GGA-PBE) results for a relaxed Hf2SiB crystal.

```
Hf2SiB
1.0
-3.354 3.354 2.978
3.354 -3.354 2.978
3.354 3.354 -2.978
Hf Si B
4 2 2
direct
0.090 0.625 0.965
0.375 0.340 0.465
0.660 0.125 0.035
0.875 0.910 0.535
0.250 0.750 0.500
0.500 0.500 0.000
0.000 0.000 0.000
0.750 0.250 0.500
```

Values from the calculation:
Raw total energy = -8.15 eV/atom
Raw formation energy = -145 meV per atom
Energy above the most stable polymorph in this dataset = 233 kJ/mol of formula units


DFT (GGA-PBE) results for a relaxed LiY2Hf2 crystal.

```
LiY2Hf2
1.0
9.142 0.000 0.000
0.000 9.142 0.000
0.000 0.000 3.350
Li Y Hf
2 4 4
direct
0.000 0.000 0.000
0.500 0.500 0.000
0.185 0.315 0.500
0.315 0.815 0.500
0.685 0.185 0.500
0.815 0.685 0.500
0.109 0.609 0.000
0.391 0.109 0.000
0.609 0.891 0.000
0.891 0.391 0.000
```

Values from the calculation:
Energy of formation from the pure elements = 393 meV per atom
Raw total energy = -6.56 eV/atom


DFT (GGA-PBE) results for a relaxed LaDy3Tm3 crystal.

```
LaDy3Tm3
1.0
12.327 0.000 0.000
-6.164 10.676 0.000
0.000 0.000 3.675
La Dy Tm
2 6 6
direct
0.333 0.667 0.250
0.667 0.333 0.750
0.098 0.611 0.750
0.389 0.487 0.750
0.487 0.098 0.250
0.513 0.902 0.750
0.611 0.513 0.250
0.902 0.389 0.250
0.081 0.308 0.750
0.227 0.919 0.750
0.308 0.227 0.250
0.692 0.773 0.750
0.773 0.081 0.250
0.919 0.692 0.250
```

Values from the calculation:
Energy of formation from the pure elements = 344 meV per atom
Raw total energy = -4.25 eV/atom
Energy above the most stable polymorph in this dataset = 63 kJ/mol of formula units


DFT (GGA-PBE) results for a relaxed CuTePI2 crystal.

```
CuTePI2
1.0
5.428 0.000 0.000
0.000 5.428 0.000
0.000 0.000 5.355
Cu Te P I
1 1 1 2
direct
0.000 0.000 0.000
0.500 0.500 0.000
0.500 0.500 0.500
0.000 0.500 0.500
0.500 0.000 0.500
```

Values from the calculation:
Raw total energy = -2.46 eV/atom
Raw formation energy = 688 meV per atom
Energy above the most stable polymorph in this dataset = 0 kJ/mol of formula units